A geometry-optimized TmMgInBi structure, computed with GGA-PBE.

a = 5.3183 Å, b = 5.3183 Å, c = 5.3183 Å
α = 60.00°, β = 60.00°, γ = 60.00°
Positions (direct):
Mg 0.0000 0.0000 0.0000
Tm 0.5000 0.5000 0.5000
Bi 0.2500 0.2500 0.2500
In 0.7500 0.7500 0.7500

The calculation puts the formation energy from the elements at -0.218 eV per atom. The density comes out at 8.07 g/cm3. Its total energy is -3.39 eV/atom. As for the space group: No. 216.

---

A geometry-optimized Mg6SnMo structure, computed with GGA-PBE.

a = 6.1761 Å, b = 6.1761 Å, c = 4.9898 Å
α = 90.00°, β = 90.00°, γ = 120.29°
Positions (direct):
Mg 0.1797 0.3464 0.0000
Mg 0.6536 0.8203 0.0000
Mg 0.6689 0.3311 0.0000
Mg 0.3333 0.1765 0.5000
Mg 0.8235 0.6667 0.5000
Mg 0.8334 0.1666 0.5000
Sn 0.1779 0.8221 0.0000
Mo 0.3298 0.6702 0.5000

The calculation puts the formation energy from the elements at 0.123 eV per atom. The density comes out at 3.64 g/cm3. Its total energy is -2.93 eV/atom. The energy relative to the lowest polymorph listed for this composition is 0 meV per atom. As for the space group: No. 38.

---

A geometry-optimized TbTmPdRh structure, computed with GGA-PBE.

a = 4.8804 Å, b = 4.8804 Å, c = 4.8804 Å
α = 60.00°, β = 60.00°, γ = 60.00°
Positions (direct):
Rh 0.5000 0.5000 0.5000
Tm 0.2500 0.2500 0.2500
Tb 0.7500 0.7500 0.7500
Pd 0.0000 0.0000 0.0000

The calculation puts the formation energy from the elements at -0.904 eV per atom. The density comes out at 10.85 g/cm3. Its total energy is -6.32 eV/atom. The energy relative to the lowest polymorph listed for this composition is 16 meV per atom. As for the space group: No. 216.

---

A geometry-optimized Mg2BeCd structure, computed with GGA-PBE.

a = 5.4131 Å, b = 5.4131 Å, c = 5.1023 Å
α = 70.60°, β = 70.60°, γ = 31.81°
Positions (direct):
Be 0.4849 0.4849 0.4530
Mg 0.0121 0.0121 0.9714
Mg 0.2191 0.2191 0.3140
Cd 0.7839 0.7839 0.7616

The calculation puts the formation energy from the elements at 0.195 eV per atom. The density comes out at 3.82 g/cm3. Its total energy is -1.76 eV/atom. The energy relative to the lowest polymorph listed for this composition is 46 meV per atom. As for the space group: No. 8.

---

Which value of formation energy from the elements does entry 2 give?
0.123 eV per atom